TaAl2Au (PBE-GGA, relaxed); density = 10.77 Mg/m³; polymorph energy (0 for the lowest one) = 113 meV per atom; E_form = -0.179 eV/atom; total magnetic moment = 0.00 μB per formula unit; crystal system = orthorhombic
1.0
2.9350 0.0000 0.0000
0.0000 3.7044 0.0000
0.0000 0.0000 6.1240
Ta Al Au
1 2 1
direct
0.0000 0.0000 0.0000 Ta
0.5000 0.5000 0.2459 Al
0.5000 0.5000 0.7541 Al
0.0000 0.0000 0.5000 Au